No. 1
## Na2Nb3Cl9 (GGA-PBE)

Data for an optimized crystal structure of Na2Nb3Cl9.

abc: 9.5132 9.4927 9.4927
angles: 119.03 101.41 101.41
Atoms (fractional coordinates):
Na (0.1452, 0.5389, 0.2194)
Na (0.8548, 0.7806, 0.4611)
Na (0.8548, 0.4611, 0.7806)
Na (0.1452, 0.2194, 0.5389)
Nb (0.3768, 0.1381, 0.1381)
Nb (0.6232, 0.8619, 0.8619)
Nb (0.6435, 0.0443, 0.2230)
Nb (0.3565, 0.7770, 0.9557)
Nb (0.3565, 0.9557, 0.7770)
Nb (0.6435, 0.2230, 0.0443)
Cl (0.5000, 0.2113, 0.7887)
Cl (0.1645, 0.4895, 0.8950)
Cl (0.1645, 0.8950, 0.4895)
Cl (0.8355, 0.5105, 0.1050)
Cl (0.7809, 0.6896, 0.6896)
Cl (0.2191, 0.3104, 0.3104)
Cl (0.5246, 0.4257, 0.2126)
Cl (0.4754, 0.7874, 0.5743)
Cl (0.4754, 0.5743, 0.7874)
Cl (0.5246, 0.2126, 0.4257)
Cl (0.1626, 0.6817, 0.6817)
Cl (0.8138, 0.8918, 0.1024)
Cl (0.8138, 0.1024, 0.8918)
Cl (0.1862, 0.1082, 0.8976)
Cl (0.1862, 0.8976, 0.1082)
Cl (0.5000, 0.7887, 0.2113)
Cl (0.8374, 0.3183, 0.3183)
Cl (0.8355, 0.1050, 0.5105)

Results
Total moment   0.0 μB/f.u.
Final energy   -138.53 eV per cell

=====

No. 2
## Pu2Si3Pt (GGA-PBE)

Data for an optimized crystal structure of Pu2Si3Pt.

abc: 3.9674 4.1432 7.1210
angles: 90.00 90.00 90.00
Atoms (fractional coordinates):
Pu (0.0000, 0.5000, 0.9939)
Pu (0.0000, 0.0000, 0.5061)
Si (0.5000, 0.0000, 0.8345)
Si (0.5000, 0.0000, 0.1622)
Si (0.5000, 0.5000, 0.6703)
Pt (0.5000, 0.5000, 0.3330)

Results
Total moment   10.5 μB/f.u.
Final energy   -54.98 eV per cell